Density functional theory data (PBE+U) for NiSbF3 after structural relaxation.

Values from the calculation:
- Energy relative to the lowest polymorph listed for this composition: 0.0 kJ/mol of atoms

```
data_NiSbF3
_cell_length_a 4.1317
_cell_length_b 4.1317
_cell_length_c 4.1317
_cell_angle_alpha 90.00
_cell_angle_beta 90.00
_cell_angle_gamma 90.00
_space_group_name_H-M_alt 'P m -3 m'
_space_group_IT_number 221
_space_group_name_Hall '-P 4 2 3'
loop_
_atom_site_label
_atom_site_fract_x
_atom_site_fract_y
_atom_site_fract_z
Ni1 0.0000 0.0000 0.0000
Sb1 0.5000 0.5000 0.5000
F1 0.0000 0.0000 0.5000
```